PBE Ni4Ir2Au, relaxed; volume = 249.5 Å³/cell; crystal system = tetragonal; DFT formation energy = 1254.2 meV/atom; SG = I4/mmm (139); E = -5.0493 eV per atom; density = 10.9 g cm⁻³
1.0
4.550 0.000 0.000
0.000 4.550 0.000
0.000 0.000 12.048
Ni Ir Au
8 4 2
Cartesian
0.000 0.000 2.496
0.000 0.000 9.552
0.000 2.275 0.000
0.000 2.275 6.024
2.275 0.000 0.000
2.275 0.000 6.024
2.275 2.275 3.528
2.275 2.275 8.520
0.000 0.000 4.773
0.000 0.000 7.275
2.275 2.275 1.251
2.275 2.275 10.797
0.000 0.000 0.000
2.275 2.275 6.024

=====

PBE NiIr2Au, relaxed; volume = 117.4 Å³/cell; crystal system = monoclinic; DFT formation energy = 239.6 meV/atom; energy above the lowest structure with this stoichiometry = 0.46 eV per formula unit; SG = Cm (8); E = -6.4556 eV per atom; density = 18.1 g cm⁻³
1.0
8.968 0.000 0.000
0.000 2.790 0.000
-0.878 0.000 4.691
Ni Ir Au
2 4 2
Cartesian
0.000 0.000 0.000
4.484 1.395 0.000
1.944 1.395 1.254
3.974 0.000 2.159
6.428 0.000 1.254
8.458 1.395 2.159
1.544 0.000 3.615
6.028 1.395 3.615

=====

PBE NiIr2Au, relaxed; volume = 117.0 Å³/cell; crystal system = orthorhombic; DFT formation energy = 374.3 meV/atom; energy above the lowest structure with this stoichiometry = 1.00 eV per formula unit; SG = Cmmm (65); E = -6.3208 eV per atom; density = 18.2 g cm⁻³
1.0
5.410 0.000 0.000
0.000 7.796 0.000
0.000 0.000 2.773
Ni Ir Au
2 4 2
Cartesian
0.000 0.000 0.000
2.705 3.898 0.000
1.353 1.949 1.387
1.353 5.847 1.387
4.058 1.949 1.387
4.058 5.847 1.387
0.000 3.898 0.000
2.705 0.000 0.000

=====

PBE NiIr3Au, relaxed; volume = 89.5 Å³/cell; crystal system = cubic; DFT formation energy = 1540.5 meV/atom; energy above the lowest structure with this stoichiometry = 0.00 eV per formula unit; SG = Pm-3m (221); E = -5.5878 eV per atom; density = 15.4 g cm⁻³
1.0
4.473 0.000 0.000
0.000 4.473 0.000
0.000 0.000 4.473
Ni Ir Au
1 3 1
Cartesian
0.000 0.000 0.000
0.000 0.000 2.237
0.000 2.237 0.000
2.237 0.000 0.000
2.237 2.237 2.237

=====

PBE Ni4IrAu, relaxed; volume = 75.9 Å³/cell; crystal system = cubic; DFT formation energy = 176.9 meV/atom; SG = F-43m (216); E = -5.7004 eV per atom; density = 13.7 g cm⁻³
1.0
0.000 3.360 3.360
3.360 0.000 3.360
3.360 3.360 0.000
Ni Ir Au
4 1 1
Cartesian
0.842 0.842 0.842
2.518 2.518 0.842
2.518 0.842 2.518
0.842 2.518 2.518
3.360 3.360 3.360
5.040 5.040 5.040

=====

PBE NiIrAu2, relaxed; volume = 251.2 Å³/cell; crystal system = cubic; DFT formation energy = 428.8 meV/atom; energy above the lowest structure with this stoichiometry = 1.08 eV per formula unit; SG = F-43m (216); E = -4.8704 eV per atom; density = 17.1 g cm⁻³
1.0
6.310 0.000 0.000
0.000 6.310 0.000
0.000 0.000 6.310
Ni Ir Au
4 4 8
Cartesian
0.000 0.000 0.000
0.000 3.155 3.155
3.155 0.000 3.155
3.155 3.155 0.000
1.577 1.577 4.732
1.577 4.732 1.577
4.732 1.577 1.577
4.732 4.732 4.732
0.000 0.000 3.155
0.000 3.155 0.000
1.577 1.577 1.577
1.577 4.732 4.732
3.155 0.000 0.000
3.155 3.155 3.155
4.732 1.577 4.732
4.732 4.732 1.577

=====

PBE NiIrAu2, relaxed; volume = 124.3 Å³/cell; crystal system = tetragonal; DFT formation energy = 363.5 meV/atom; energy above the lowest structure with this stoichiometry = 0.82 eV per formula unit; SG = I4/mmm (139); E = -4.9358 eV per atom; density = 17.2 g cm⁻³
1.0
4.017 0.000 0.000
0.000 4.017 0.000
0.000 0.000 7.703
Ni Ir Au
2 2 4
Cartesian
0.000 0.000 0.000
2.008 2.008 3.851
0.000 0.000 3.851
2.008 2.008 0.000
0.000 2.008 1.926
0.000 2.008 5.777
2.008 0.000 1.926
2.008 0.000 5.777

=====

PBE NiIr2Au, relaxed; volume = 116.6 Å³/cell; crystal system = monoclinic; DFT formation energy = 209.8 meV/atom; energy above the lowest structure with this stoichiometry = 0.34 eV per formula unit; SG = C2/m (12); E = -6.4854 eV per atom; density = 18.2 g cm⁻³
1.0
9.290 0.000 0.000
0.000 2.758 0.000
-1.061 0.000 4.550
Ni Ir Au
2 4 2
Cartesian
0.000 0.000 0.000
4.645 1.379 0.000
1.916 1.379 1.048
1.667 0.000 3.502
6.561 0.000 1.048
6.312 1.379 3.502
-0.531 1.379 2.275
4.114 0.000 2.275

=====

PBE NiIr2Au, relaxed; volume = 117.5 Å³/cell; crystal system = orthorhombic; DFT formation energy = 235.4 meV/atom; energy above the lowest structure with this stoichiometry = 0.44 eV per formula unit; SG = Immm (71); E = -6.4597 eV per atom; density = 18.1 g cm⁻³
1.0
2.749 0.000 0.000
0.000 4.516 0.000
0.000 0.000 9.465
Ni Ir Au
2 4 2
Cartesian
0.000 0.000 0.000
1.374 2.258 4.733
0.000 2.258 2.621
0.000 2.258 6.844
1.374 0.000 2.112
1.374 0.000 7.354
0.000 0.000 4.733
1.374 2.258 0.000

=====

PBE NiIr2Au, relaxed; volume = 175.6 Å³/cell; crystal system = trigonal; DFT formation energy = 155.8 meV/atom; energy above the lowest structure with this stoichiometry = 0.12 eV per formula unit; SG = R3m (160); E = -6.5394 eV per atom; density = 18.2 g cm⁻³
1.0
2.762 0.000 0.000
-1.381 2.392 0.000
0.000 0.000 26.585
Ni Ir Au
3 6 3
Cartesian
0.000 0.000 0.000
0.000 1.594 17.723
1.381 0.797 8.862
0.000 0.000 6.845
0.000 0.000 13.536
0.000 1.594 4.674
0.000 1.594 24.568
1.381 0.797 15.707
1.381 0.797 22.397
0.000 0.000 19.932
0.000 1.594 11.070
1.381 0.797 2.209

=====

PBE NiIrAu3, relaxed; volume = 98.8 Å³/cell; crystal system = cubic; DFT formation energy = 1300.5 meV/atom; energy above the lowest structure with this stoichiometry = 0.00 eV per formula unit; SG = Pm-3m (221); E = -3.5944 eV per atom; density = 14.2 g cm⁻³
1.0
4.622 0.000 0.000
0.000 4.622 0.000
0.000 0.000 4.622
Ni Ir Au
1 1 3
Cartesian
0.000 0.000 0.000
2.311 2.311 2.311
0.000 0.000 2.311
0.000 2.311 0.000
2.311 0.000 0.000

=====

PBE NiIr2Au, relaxed; volume = 175.9 Å³/cell; crystal system = trigonal; DFT formation energy = 224.6 meV/atom; energy above the lowest structure with this stoichiometry = 0.40 eV per formula unit; SG = R-3m (166); E = -6.4706 eV per atom; density = 18.1 g cm⁻³
1.0
2.758 0.000 0.000
-1.379 2.388 0.000
0.000 0.000 26.701
Ni Ir Au
3 6 3
Cartesian
0.000 0.000 0.000
0.000 1.592 17.801
1.379 0.796 8.900
0.000 0.000 6.898
0.000 0.000 19.804
0.000 1.592 10.903
0.000 1.592 24.698
1.379 0.796 2.003
1.379 0.796 15.798
0.000 0.000 13.351
0.000 1.592 4.450
1.379 0.796 22.251